A relaxed structure of BaCo2P2H2O9. Source: Alexandria via LeMat-Bulk, functional PBE+U. Values from VASP.

The structure in Quantum ESPRESSO input format:
```
&SYSTEM
  ibrav = 0, nat = 16, ntyp = 5
/
ATOMIC_SPECIES
O 16.00 O.upf
Co 58.93 Co.upf
H 1.01 H.upf
Ba 137.33 Ba.upf
P 30.97 P.upf
CELL_PARAMETERS angstrom
4.9606 0.0000 0.0000
-2.4803 4.6517 -0.0010
0.0000 -0.2634 8.4459
ATOMIC_POSITIONS crystal
O 0.7530 0.3551 0.2558
O 0.2188 0.0122 0.7874
O 0.3651 0.5117 0.1544
O 0.8534 0.4883 0.8456
O 0.5923 0.0000 0.5000
O 0.3979 0.6449 0.7442
O 0.9571 0.6290 0.5678
O 0.3281 0.3710 0.4322
O 0.2066 0.9878 0.2126
Co 0.5013 0.3374 0.6465
Co 0.1639 0.6626 0.3535
H 0.6471 0.8822 0.5680
H 0.7649 0.1178 0.4320
Ba 0.7804 0.0000 0.0000
P 0.4212 0.3092 0.2629
P 0.1120 0.6908 0.7371
```

## Properties
N(E_F) = 0.00 states/eV per atom
Calculated volume = 12.18 Å³ per atom
Uncorrected energy = -105.41 eV/cell